First-principles (PBE-GGA) data for EuMg2Sn after structural relaxation, as listed in Alexandria via LeMat-Bulk.

DFT formation energy in eV/atom: 0.258
ΔE to the lowest computed polymorph in eV/atom: 0.594
Raw total energy in eV per atom: -4.11
Calculated volume in Å³ per cell: 165
D(E_F) in states/eV/f.u.: 2.0

a = 4.7717 Å, b = 4.7717 Å, c = 8.8074 Å
α = 74.28°, β = 74.28°, γ = 60.00°
Atoms (fractional coordinates):
Eu  0.0000  0.0000  0.0000
Mg  0.1359  0.1359  0.5923
Mg  0.8641  0.8641  0.4077
Sn  0.5000  0.5000  0.5000